Density functional theory data (PBE+U) for a relaxed structure of ThTaMnO6.

Unit cell a=4.9943 b=4.9943 c=9.7736 alpha=90.00 beta=90.00 gamma=90.00
Last column: nearest neighbours and their distance in Å.
Fractional positions:
Ta  0.0000  0.0000  0.3380  6 O 1.92-2.09
O  0.8270  0.1730  0.1643  1 Mn 1.98, 1 Ta 2.09
O  0.8086  0.1914  0.4771  1 Ta 1.92
O  0.2918  0.2918  0.3507  1 Ta 2.06, 1 Mn 2.11, 1 Th 2.28
O  0.6730  0.6730  0.6643  1 Mn 1.98, 1 Ta 2.09
O  0.3270  0.3270  0.6643  1 Mn 1.98, 1 Ta 2.09
O  0.6914  0.6914  0.9771  1 Ta 1.92
Th  0.0000  0.0000  0.6724  6 O 2.28-2.34
Th  0.5000  0.5000  0.1724  6 O 2.28-2.34
Mn  0.5000  0.5000  0.5054  6 O 1.98-2.20
O  0.3086  0.3086  0.9771  1 Ta 1.92
O  0.7082  0.7082  0.3507  1 Ta 2.06, 1 Mn 2.11, 1 Th 2.28
Mn  0.0000  0.0000  0.0054  6 O 1.98-2.20
O  0.1730  0.8270  0.1643  1 Mn 1.98, 1 Ta 2.09
Ta  0.5000  0.5000  0.8380  6 O 1.92-2.09
O  0.7918  0.2082  0.8507  1 Ta 2.06, 1 Mn 2.11, 1 Th 2.28
O  0.1914  0.8086  0.4771  1 Ta 1.92
O  0.2082  0.7918  0.8507  1 Ta 2.06, 1 Mn 2.11, 1 Th 2.28

## Properties
- Total magnetic moment: 7.97 Bohr magnetons per cell
- Uncorrected energy: -9.01 eV/atom